Material: Be2InSb
Method: DFT, PBEsol
State: optimized geometry

a b c (Å): 6.223 6.252 6.223
angles (deg): 60.15 90.00 119.85
Element x y z (fractional)
Be: 0.875 0.250 0.650
Be: 0.650 0.750 0.375
Be: 0.100 0.750 0.875
Be: 0.375 0.250 0.100
Sb: 0.000 0.000 0.000
Sb: 0.750 0.500 0.750
In: 0.250 0.500 0.250
In: 0.500 0.000 0.500

Volume   172.0 Å³ per cell
Space-group type   I-42d, No. 122
Formation energy from raw total energies   56.0 kJ/mol of atoms
Uncorrected energy   -3.30 eV per atom
Offset from the most stable computed form   137.0 meV per atom

=====

Material: CrTeRu2
Method: DFT, PBEsol
State: optimized geometry

a b c (Å): 4.342 4.342 4.342
angles (deg): 60.00 60.00 60.00
Element x y z (fractional)
Ru: 0.000 0.000 0.000
Ru: 0.750 0.750 0.750
Te: 0.250 0.250 0.250
Cr: 0.500 0.500 0.500

Volume   57.9 Å³ per cell
Space-group type   F-43m, No. 216
Formation energy from raw total energies   47.3 kJ/mol of atoms
Uncorrected energy   -8.04 eV per atom

=====

Material: AgHg2P
Method: DFT, PBEsol
State: optimized geometry

a b c (Å): 4.259 4.259 5.130
angles (deg): 114.53 114.53 90.00
Element x y z (fractional)
P: 0.500 0.500 0.000
Hg: 0.750 0.250 0.500
Hg: 0.250 0.750 0.500
Ag: 0.000 0.000 0.000

Volume   75.3 Å³ per cell
Space-group type   I4/mmm, No. 139
Uncorrected energy   -2.24 eV per atom
Formation energy from the elements   1.258 eV per formula unit

=====

Material: KFeRu
Method: DFT, PBEsol
State: optimized geometry

a b c (Å): 4.340 4.340 4.340
angles (deg): 60.00 60.00 60.00
Site moments in Bohr magnetons follow the coordinates.
Element x y z (fractional)
Ru: 0.500 0.500 0.500  0.61
K: 0.000 0.000 0.000  0.00
Fe: 0.250 0.250 0.250  2.63

Volume   57.8 Å³ per cell
Space-group type   F-43m, No. 216
Uncorrected energy   -4.90 eV per atom
Formation energy from the elements   5.577 eV per formula unit
Offset from the most stable computed form   950.9 meV per atom

=====

Material: MnRuN2O
Method: DFT, PBEsol
State: optimized geometry

a b c (Å): 3.705 3.705 4.095
angles (deg): 90.00 90.00 90.00
Site moments in Bohr magnetons follow the coordinates.
Element x y z (fractional)
N: 0.500 0.000 0.000  -0.04
N: 0.000 0.500 0.000  -0.04
O: 0.000 0.000 0.500  0.08
Mn: 0.500 0.500 0.500  4.42
Ru: 0.000 0.000 0.000  0.02

Volume   56.2 Å³ per cell
Space-group type   P4/mmm, No. 123
Formation energy from raw total energies   44.1 kJ/mol of atoms
Uncorrected energy   -7.99 eV per atom

=====

Material: CrRuAu2
Method: DFT, PBEsol
State: optimized geometry

a b c (Å): 2.736 2.736 9.151
angles (deg): 81.40 81.40 60.00
Element x y z (fractional)
Cr: 0.500 0.500 0.500
Ru: 0.000 0.000 0.000
Au: 0.248 0.248 0.257
Au: 0.752 0.752 0.743

Volume   58.4 Å³ per cell
Space-group type   R-3m, No. 166
Uncorrected energy   -6.57 eV per atom
Formation energy from the elements   1.963 eV per formula unit
Offset from the most stable computed form   269.1 meV per atom

=====

Material: NdSeF
Method: DFT, PBEsol
State: optimized geometry

a b c (Å): 3.988 3.988 7.112
angles (deg): 90.00 90.00 90.00
Element x y z (fractional)
Se: 0.500 0.000 0.644
Se: 0.000 0.500 0.356
Nd: 0.500 0.000 0.216
Nd: 0.000 0.500 0.784
F: 0.000 0.000 0.000
F: 0.500 0.500 0.000

Volume   113.1 Å³ per cell
Space-group type   P4/nmm, No. 129
Formation energy from raw total energies   -282.9 kJ/mol of atoms
Uncorrected energy   -6.58 eV per atom

=====

Material: LaHfTe2
Method: DFT, PBEsol
State: optimized geometry

a b c (Å): 3.842 3.842 10.192
angles (deg): 79.14 79.14 60.00
Element x y z (fractional)
Te: 0.894 0.894 0.319
Te: 0.106 0.106 0.681
La: 0.000 0.000 0.000
Hf: 0.500 0.500 0.500

Volume   127.1 Å³ per cell
Space-group type   R-3m, No. 166
Formation energy from raw total energies   -56.4 kJ/mol of atoms
Uncorrected energy   -6.31 eV per atom
Offset from the most stable computed form   335.4 meV per atom